The following is a PBE calculation of K2AlSe after structural relaxation, from Alexandria.

a b c (Å): 5.1007 5.1007 11.6896
angles (deg): 77.40 77.40 90.00
Closest atoms and distances in Å follow each position.
Atoms (fractional coordinates):
K 0.8750 0.9089 0.7500  2 Se 3.25, 2 K 3.37, 2 Al 3.38
K 0.3750 0.3411 0.7500  2 Se 3.25, 2 K 3.37, 2 Al 3.38
K 0.0911 0.6250 0.2500  2 Se 3.25, 2 K 3.37, 2 Al 3.38
K 0.6589 0.1250 0.2500  2 Se 3.25, 2 K 3.37, 2 Al 3.38
Al 0.5000 0.5000 0.0000  4 K 3.38, 4 Se 3.61
Al 0.2500 0.7500 0.5000  4 K 3.38, 4 Se 3.61
Se 0.0000 0.0000 0.0000  4 K 3.25, 4 Al 3.61
Se 0.7500 0.2500 0.5000  4 K 3.25, 4 Al 3.61

## Properties
Distance to the lowest polymorph of the same formula = 0.4472 eV per atom
DOS(E_F) = 0.56 states/eV/f.u.
Raw formation energy = -0.084 eV/f.u.
Size of the total moment = 2.0 Bohr magnetons per cell